(1)
Below is an optimized crystal structure of CrCu4Ni15, with properties calculated at the GGA-PBE level.

Unit cell a=3.541 b=3.541 c=17.656 alpha=90.00 beta=90.00 gamma=90.00
Site moments in Bohr magnetons follow the coordinates.
Fractional coordinates of all 20 atoms:
Cr1 0.000 0.000 0.000  1.42
Cu1 0.000 0.000 0.200  0.03
Cu2 0.000 0.000 0.400  0.02
Cu3 0.000 0.000 0.600  0.02
Cu4 0.000 0.000 0.800  0.03
Ni1 0.500 0.500 0.000  0.10
Ni2 0.500 0.500 0.200  0.48
Ni3 0.500 0.500 0.400  0.54
Ni4 0.500 0.500 0.600  0.54
Ni5 0.500 0.500 0.800  0.48
Ni6 0.500 0.000 0.098  0.17
Ni7 0.500 0.000 0.300  0.54
Ni8 0.500 0.000 0.500  0.51
Ni9 0.500 0.000 0.700  0.54
Ni10 0.500 0.000 0.902  0.17
Ni11 0.000 0.500 0.098  0.17
Ni12 0.000 0.500 0.300  0.54
Ni13 0.000 0.500 0.500  0.51
Ni14 0.000 0.500 0.700  0.54
Ni15 0.000 0.500 0.902  0.17

Calculated values
Density   8.9 g/cm3
D(E_F)   26.828 states/eV/cell
Spin magnetization   7.2 μB per formula unit
Calculated total energy   -5.61 eV per atom

(2)
Below is an optimized crystal structure of AlAgMo2, with properties calculated at the GGA-PBE level.

Unit cell a=5.667 b=5.156 c=2.731 alpha=86.29 beta=68.64 gamma=116.94
Fractional coordinates of all 4 atoms:
Mo1 0.000 0.000 0.000
Mo2 0.500 0.000 0.500
Al1 0.500 0.500 0.000
Ag1 0.000 0.500 0.500

Calculated values
Density   8.5 g/cm3
D(E_F)   1.591 states/eV/cell
Spin magnetization   0.0 μB per formula unit
Calculated total energy   -6.91 eV per atom